The following is a GGA-PBE calculation of a relaxed TaTlNi4 crystal, from the Alexandria database.

```
TaTlNi4
1.0
-4.476 1.159 1.488
-3.418 1.154 -3.253
-3.696 -3.042 -0.822
Ni Ta Tl
4 1 1
Cartesian
-7.233 -0.456 -1.614
-5.012 -1.030 -2.352
-5.537 -1.028 0.000
-5.399 1.054 -1.206
-2.898 -0.183 -0.647
0.000 0.000 0.000
```

Calculated values
For the formation energy from the elements, the calculation gives 0.45 kJ per mole of atoms. The final energy comes out at -37.3 eV for the cell shown. The space group is F-43m.